Below is a geometry-optimized PmPr4Ho3Te8 structure, with properties calculated at the PBE level.

a = 9.010 Å, b = 9.010 Å, c = 9.010 Å
α = 58.46°, β = 58.46°, γ = 58.46°
Element x y z (fractional)
Pm (0.000, 0.000, 0.000)
Pr (0.000, 0.000, 0.500)
Pr (0.000, 0.500, 0.000)
Pr (0.500, 0.000, 0.000)
Pr (0.500, 0.500, 0.500)
Ho (0.000, 0.500, 0.500)
Ho (0.500, 0.000, 0.500)
Ho (0.500, 0.500, 0.000)
Te (0.248, 0.248, 0.740)
Te (0.248, 0.740, 0.248)
Te (0.256, 0.256, 0.256)
Te (0.260, 0.752, 0.752)
Te (0.740, 0.248, 0.248)
Te (0.744, 0.744, 0.744)
Te (0.752, 0.260, 0.752)
Te (0.752, 0.752, 0.260)

Values from the calculation:
E_form (uncorrected) (eV/atom): -1.36
Spin magnetization (μB/cell): 0.00

***

Below is a geometry-optimized Pm2PrHoTe5 structure, with properties calculated at the PBE level.

a = 5.515 Å, b = 5.515 Å, c = 11.861 Å
α = 90.00°, β = 90.00°, γ = 90.00°
Element x y z (fractional)
Pm (0.000, 0.000, 0.154)
Pm (0.000, 0.000, 0.846)
Pr (0.500, 0.500, 0.500)
Ho (0.500, 0.500, 0.000)
Te (0.000, 0.000, 0.500)
Te (0.000, 0.500, 0.000)
Te (0.500, 0.000, 0.000)
Te (0.500, 0.500, 0.249)
Te (0.500, 0.500, 0.751)

Values from the calculation:
E_form (uncorrected) (eV/atom): -0.82
Spin magnetization (μB/cell): 0.59

***

Below is a geometry-optimized Pm3PrHo3Te8 structure, with properties calculated at the PBE level.

a = 8.785 Å, b = 8.785 Å, c = 8.785 Å
α = 59.96°, β = 59.96°, γ = 59.96°
Element x y z (fractional)
Pm (0.000, 0.500, 0.500)
Pm (0.500, 0.000, 0.500)
Pm (0.500, 0.500, 0.000)
Pr (0.500, 0.500, 0.500)
Ho (0.000, 0.000, 0.500)
Ho (0.000, 0.500, 0.000)
Ho (0.500, 0.000, 0.000)
Te (0.232, 0.761, 0.761)
Te (0.239, 0.239, 0.768)
Te (0.239, 0.768, 0.239)
Te (0.247, 0.247, 0.247)
Te (0.753, 0.753, 0.753)
Te (0.761, 0.232, 0.761)
Te (0.761, 0.761, 0.232)
Te (0.768, 0.239, 0.239)

Values from the calculation:
E_form (uncorrected) (eV/atom): -1.40
Spin magnetization (μB/cell): 0.00

***

Below is a geometry-optimized PmPr2Ho3Te6 structure, with properties calculated at the PBE level.

a = 9.954 Å, b = 9.954 Å, c = 8.972 Å
α = 104.76°, β = 104.76°, γ = 25.33°
Element x y z (fractional)
Pm (0.000, 0.000, 0.000)
Pr (0.333, 0.333, 0.666)
Pr (0.667, 0.667, 0.334)
Ho (0.000, 0.000, 0.500)
Ho (0.332, 0.332, 0.166)
Ho (0.668, 0.668, 0.834)
Te (0.163, 0.163, 0.592)
Te (0.168, 0.168, 0.073)
Te (0.496, 0.496, 0.256)
Te (0.504, 0.504, 0.744)
Te (0.832, 0.832, 0.927)
Te (0.837, 0.837, 0.408)

Values from the calculation:
E_form (uncorrected) (eV/atom): -1.34
Spin magnetization (μB/cell): 0.00

***

Below is a geometry-optimized Pm6Pr3Ho2Th structure, with properties calculated at the PBE level.

a = 6.292 Å, b = 6.292 Å, c = 12.118 Å
α = 94.96°, β = 94.96°, γ = 119.91°
Element x y z (fractional)
Pm (0.082, 0.412, 0.244)
Pm (0.248, 0.248, 0.755)
Pm (0.412, 0.082, 0.244)
Pm (0.588, 0.918, 0.756)
Pm (0.752, 0.752, 0.245)
Pm (0.918, 0.588, 0.756)
Pr (0.167, 0.833, 0.500)
Pr (0.500, 0.500, 0.500)
Pr (0.833, 0.167, 0.500)
Ho (0.333, 0.667, 0.000)
Ho (0.667, 0.333, 0.000)
Th (0.000, 0.000, 0.000)

Values from the calculation:
Energy relative to the elements (eV per atom): 0.03
Spin magnetization (μB/cell): 0.00

***

Below is a geometry-optimized Pm2PrHo5Th structure, with properties calculated at the PBE level.

a = 10.440 Å, b = 10.440 Å, c = 10.502 Å
α = 90.00°, β = 90.00°, γ = 148.61°
Element x y z (fractional)
Pm (0.113, 0.887, 0.500)
Pm (0.116, 0.884, 0.909)
Pm (0.884, 0.116, 0.409)
Pm (0.887, 0.113, 0.000)
Pr (0.413, 0.587, 0.629)
Pr (0.587, 0.413, 0.129)
Ho (0.017, 0.983, 0.205)
Ho (0.276, 0.724, 0.497)
Ho (0.298, 0.702, 0.891)
Ho (0.388, 0.612, 0.204)
Ho (0.479, 0.521, 0.917)
Ho (0.521, 0.479, 0.417)
Ho (0.612, 0.388, 0.704)
Ho (0.702, 0.298, 0.391)
Ho (0.724, 0.276, 0.997)
Ho (0.983, 0.017, 0.705)
Th (0.202, 0.798, 0.194)
Th (0.798, 0.202, 0.694)

Values from the calculation:
Energy relative to the elements (eV per atom): 0.16
Spin magnetization (μB/cell): 0.00